# RbMg2PS

RbMg2PS after structural relaxation (PBE, the Alexandria database).

Unit cell a=4.8853 b=5.8937 c=4.8853 alpha=90.00 beta=90.00 gamma=90.00
With the nearest neighbours (Å) after each atom.
Fractional positions:
P 0.0000 0.0000 0.0000  4 Mg 2.44
S 0.0000 0.5000 0.0000  2 P 2.95
Mg 0.0000 0.0000 0.5000  2 P 2.44
Mg 0.5000 0.0000 0.0000  2 P 2.44
Rb 0.5000 0.5000 0.5000  4 S 3.45, 8 Mg 3.83

Calculated volume ... 28.132 Å³ per atom
ΔE_f (raw) ... -0.120 eV per atom